1.
Here is crystalline CaLa4Pr2Sm at its relaxed geometry from Alexandria via LeMat-Bulk. Energies are from PBE.

a = 9.8592 Å, b = 9.8592 Å, c = 7.0244 Å
α = 110.85°, β = 110.85°, γ = 87.94°
With the nearest neighbours (Å) after each atom.
Fractional coordinates of all 16 atoms:
1 Ca 0.0000 0.0000 0.0000  6 La 3.43-3.69, 2 Ca 3.51
2 Ca 0.0000 0.0000 0.5000  6 La 3.43-3.69, 2 Ca 3.51
3 La 0.2500 0.7502 0.5280  1 La 3.12, 1 Ca 3.43, 3 Pr 3.43-3.46
4 La 0.2498 0.7500 0.9720  1 La 3.12, 1 Ca 3.43, 3 Pr 3.43-3.46
5 La 0.2607 0.2639 0.5157  3 Pr 3.40-3.43, 1 Sm 3.45, 2 La 3.51, 2 Ca 3.67-3.69
6 La 0.2639 0.2607 0.0157  3 Pr 3.40-3.43, 1 Sm 3.45, 2 La 3.51, 2 Ca 3.67-3.69
7 La 0.7361 0.7393 0.9843  3 Pr 3.40-3.43, 1 Sm 3.45, 2 La 3.51, 2 Ca 3.67-3.69
8 La 0.7393 0.7361 0.4843  3 Pr 3.40-3.43, 1 Sm 3.45, 2 La 3.51, 2 Ca 3.67-3.69
9 La 0.7502 0.2500 0.0280  1 La 3.12, 1 Ca 3.43, 3 Pr 3.43-3.46
10 La 0.7500 0.2498 0.4720  1 La 3.12, 1 Ca 3.43, 3 Pr 3.43-3.46
11 Pr 0.0000 0.5000 0.5000  6 La 3.40-3.46, 2 Sm 3.51
12 Pr 0.5000 0.0000 0.0000  6 La 3.40-3.46, 2 Sm 3.51
13 Pr 0.5000 0.5000 0.0000  6 La 3.41-3.43, 2 Pr 3.51
14 Pr 0.5000 0.5000 0.5000  6 La 3.41-3.43, 2 Pr 3.51
15 Sm 0.0000 0.5000 0.0000  6 La 3.45-3.65, 2 Pr 3.51
16 Sm 0.5000 0.0000 0.5000  6 La 3.45-3.65, 2 Pr 3.51

Results
size of the total moment	0.0	μB per cell
uncorrected energy	-4.180	eV per atom
D(E_F)	29.63	states/eV/cell
energy of formation from the pure elements	318	meV per atom



2.
Here is crystalline CaLa2Pr4Sm2 at its relaxed geometry from Alexandria via LeMat-Bulk. Energies are from PBE.

a = 9.9393 Å, b = 9.9393 Å, c = 10.0400 Å
α = 115.37°, β = 115.37°, γ = 21.63°
With the nearest neighbours (Å) after each atom.
Fractional coordinates of all 9 atoms:
1 Ca 0.0000 0.0000 0.0000  2 Ca 3.73, 6 Pr 3.74-3.79, 4 La 3.83
2 La 0.3294 0.3294 0.0025  4 La 3.60-3.73, 3 Sm 3.66-3.67, 3 Pr 3.78-3.79, 2 Ca 3.83
3 La 0.6706 0.6706 0.9975  4 La 3.60-3.73, 3 Sm 3.66-3.67, 3 Pr 3.78-3.79, 2 Ca 3.83
4 Pr 0.1869 0.1869 0.3380  6 Pr 3.63-3.79, 3 Sm 3.69-3.73, 1 Ca 3.74, 2 La 3.78
5 Pr 0.4809 0.4809 0.6572  5 Pr 3.55-3.79, 4 Sm 3.65-3.73, 2 Ca 3.79, 1 La 3.79
6 Pr 0.5191 0.5191 0.3428  5 Pr 3.55-3.79, 4 Sm 3.65-3.73, 2 Ca 3.79, 1 La 3.79
7 Pr 0.8131 0.8131 0.6620  6 Pr 3.63-3.79, 3 Sm 3.69-3.73, 1 Ca 3.74, 2 La 3.78
8 Sm 0.1486 0.1486 0.6672  7 Pr 3.65-3.73, 3 La 3.66-3.67, 2 Sm 3.73
9 Sm 0.8514 0.8514 0.3328  7 Pr 3.65-3.73, 3 La 3.66-3.67, 2 Sm 3.73

Results
size of the total moment	0.0	μB per cell
uncorrected energy	-4.467	eV per atom
D(E_F)	13.26	states/eV/cell
energy of formation from the pure elements	24	meV per atom